This record from Alexandria describes a geometry-optimized Ga2H2I7 structure. The functional is PBE.

a = 11.195 Å, b = 13.323 Å, c = 7.641 Å
α = 90.00°, β = 112.25°, γ = 90.00°
Space group C2/m (No. 12)
One atom of each set of equivalent atoms:
Ga1 0.234 0.000 0.300 (multiplicity 4)
H1 0.000 0.340 0.500 (multiplicity 4)
I1 0.000 0.000 0.000 (multiplicity 2)
I2 0.134 0.337 0.749 (multiplicity 8)
I3 0.235 0.000 0.635 (multiplicity 4)

Summary:
Total moment in μB/atom: 0.0001
Total energy in eV/atom: -2.360
D(E_F) in states/eV/cell: 13.1